# LiAcHoHg

An optimized crystal structure of LiAcHoHg (PBE-GGA, Alexandria).

- Calculated volume: 29.1 A^3/atom
- VASP energy: -0.2120 Ry per atom
- Spin magnetization: 0.00 μB per cell

Cell lengths 5.4803, 5.4803, 5.4803 Å; angles 60.00, 60.00, 60.00 degrees
Closest atoms and distances in Å follow each position.
Fractional positions:
Ac  0.2500  0.2500  0.2500  4 Hg 3.36, 4 Li 3.36
Ho  0.7500  0.7500  0.7500  4 Li 3.36, 4 Hg 3.36
Hg  0.5000  0.5000  0.5000  4 Ho 3.36, 4 Ac 3.36
Li  0.0000  0.0000  0.0000  4 Ac 3.36, 4 Ho 3.36

---

# LiAc2HoHg6

An optimized crystal structure of LiAc2HoHg6 (PBE-GGA, Alexandria).

- Calculated volume: 28.7 A^3/atom
- VASP energy: -0.1437 Ry per atom
- Spin magnetization: 0.00 μB per cell

Cell lengths 9.3898, 5.9631, 7.1698 Å; angles 72.62, 58.20, 103.18 degrees
Closest atoms and distances in Å follow each position.
Fractional positions:
Ac  0.2150  0.6830  0.5398  7 Hg 3.31-3.54, 1 Li 3.57
Li  0.0000  0.0000  0.0000  2 Hg 2.52
Ac  0.7850  0.3170  0.4602  7 Hg 3.31-3.54, 1 Li 3.57
Hg  0.2732  0.7886  0.9914  2 Hg 3.02-3.08, 1 Ho 3.04, 1 Li 3.09
Hg  0.7268  0.2114  0.0086  2 Hg 3.02-3.08, 1 Ho 3.04, 1 Li 3.09
Hg  0.1155  0.1172  0.2229  1 Li 2.52
Hg  0.8845  0.8828  0.7771  1 Li 2.52
Hg  0.3793  0.2415  0.5329  1 Li 2.86, 2 Hg 3.02-3.11, 1 Ho 3.06
Ho  0.5000  0.5000  0.0000  6 Hg 2.96-3.06
Hg  0.6207  0.7585  0.4671  1 Li 2.86, 2 Hg 3.02-3.11, 1 Ho 3.06

---

# LiAcHo2Hg4

An optimized crystal structure of LiAcHo2Hg4 (PBE-GGA, Alexandria).

- Calculated volume: 26.5 A^3/atom
- VASP energy: -0.1815 Ry per atom
- Spin magnetization: 0.00 μB per cell

Cell lengths 5.1541, 5.1541, 9.6794 Å; angles 74.56, 74.56, 60.00 degrees
Closest atoms and distances in Å follow each position.
Fractional positions:
Ho  0.2391  0.2391  0.2827  7 Hg 3.06-3.13
Hg  0.8716  0.8716  0.3851  4 Ho 3.06-3.12, 3 Li 3.16
Li  0.5000  0.5000  0.5000  8 Hg 2.98-3.16
Ac  0.0000  0.0000  0.0000  8 Hg 3.39-3.55
Hg  0.6077  0.6077  0.1768  1 Li 2.98, 3 Ho 3.13
Hg  0.1284  0.1284  0.6149  4 Ho 3.06-3.12, 3 Li 3.16
Hg  0.3923  0.3923  0.8232  1 Li 2.98, 3 Ho 3.13
Ho  0.7609  0.7609  0.7173  7 Hg 3.06-3.13

---

# Ac2HoMgHg6

An optimized crystal structure of Ac2HoMgHg6 (PBE-GGA, Alexandria).

- Calculated volume: 29.4 A^3/atom
- VASP energy: -0.1398 Ry per atom
- Spin magnetization: 0.00 μB per cell

Cell lengths 6.0824, 10.0986, 7.7550 Å; angles 47.62, 69.57, 94.57 degrees
Closest atoms and distances in Å follow each position.
Fractional positions:
Ho  0.5000  0.5000  0.0000  6 Hg 2.97-3.07
Hg  0.7950  0.9381  0.4596  1 Mg 2.90, 1 Ho 2.97, 2 Hg 3.10-3.13
Mg  0.0000  0.0000  0.0000  6 Hg 2.89-3.05
Hg  0.3378  0.3351  0.8273  1 Mg 2.89, 1 Ho 3.03, 3 Hg 3.08-3.15
Hg  0.6622  0.6649  0.1727  1 Mg 2.89, 1 Ho 3.03, 3 Hg 3.08-3.15
Ac  0.2683  0.7720  0.4556  8 Hg 3.41-3.63, 2 Mg 3.74-3.76
Hg  0.7822  0.2811  0.9422  1 Mg 3.05, 1 Ho 3.07, 3 Hg 3.08-3.11
Hg  0.2178  0.7189  0.0578  1 Mg 3.05, 1 Ho 3.07, 3 Hg 3.08-3.11
Hg  0.2050  0.0619  0.5404  1 Mg 2.90, 1 Ho 2.97, 2 Hg 3.10-3.13
Ac  0.7317  0.2280  0.5444  8 Hg 3.41-3.63, 2 Mg 3.74-3.76

---

# AcHoMgHg

An optimized crystal structure of AcHoMgHg (PBE-GGA, Alexandria).

- Calculated volume: 30.1 A^3/atom
- VASP energy: -0.2096 Ry per atom
- Spin magnetization: 0.00 μB per cell

Cell lengths 5.5420, 5.5420, 5.5420 Å; angles 60.00, 60.00, 60.00 degrees
Closest atoms and distances in Å follow each position.
Fractional positions:
Ho  0.2500  0.2500  0.2500  4 Hg 3.39, 4 Mg 3.39
Ac  0.7500  0.7500  0.7500  4 Hg 3.39, 4 Mg 3.39
Hg  0.5000  0.5000  0.5000  4 Ho 3.39, 4 Ac 3.39
Mg  0.0000  0.0000  0.0000  4 Ac 3.39, 4 Ho 3.39

---

# NaAcHoHg

An optimized crystal structure of NaAcHoHg (PBE-GGA, Alexandria).

- Calculated volume: 31.0 A^3/atom
- VASP energy: -0.1917 Ry per atom
- Spin magnetization: 0.51 μB per cell

Cell lengths 5.5993, 5.5993, 5.5993 Å; angles 60.00, 60.00, 60.00 degrees
Closest atoms and distances in Å follow each position.
Fractional positions:
Ho  0.7500  0.7500  0.7500  4 Na 3.43, 4 Hg 3.43
Na  0.0000  0.0000  0.0000  4 Ho 3.43, 4 Ac 3.43
Ac  0.2500  0.2500  0.2500  4 Hg 3.43, 4 Na 3.43
Hg  0.5000  0.5000  0.5000  4 Ho 3.43, 4 Ac 3.43